Entry 1:
## Pr2SmH (PBE)

Data for a relaxed Pr2SmH crystal.

The energy is -4.557 eV per atom. For the energy above the most stable polymorph in this dataset, the calculation gives 0.000 eV per atom.

Geometry as CIF:
```
data_Pr2SmH
_chemical_formula_sum 'Pr2 Sm1 H1'
_cell_length_a 3.741
_cell_length_b 3.741
_cell_length_c 9.138
_cell_angle_alpha 78.19
_cell_angle_beta 78.19
_cell_angle_gamma 60.00
_symmetry_space_group_name_H-M 'P 1'
_symmetry_Int_Tables_number 1
loop_
_symmetry_equiv_pos_as_xyz
'x,y,z'
loop_
_atom_site_label
_atom_site_type_symbol
_atom_site_fract_x
_atom_site_fract_y
_atom_site_fract_z
Pr1 Pr 0.722 0.722 0.834
Pr2 Pr 0.278 0.278 0.166
H1 H 0.000 0.000 0.000
Sm1 Sm 0.500 0.500 0.500
```


Entry 2:
## Pr3Mg7Al2 (PBE)

Data for a relaxed Pr3Mg7Al2 crystal.

The energy is -2.870 eV per atom. For the energy of formation from the pure elements, the calculation gives -0.12 eV/atom.

Geometry as CIF:
```
data_Pr3Mg7Al2
_chemical_formula_sum 'Pr3 Mg7 Al2'
_cell_length_a 6.061
_cell_length_b 6.061
_cell_length_c 10.236
_cell_angle_alpha 72.78
_cell_angle_beta 72.78
_cell_angle_gamma 60.00
_symmetry_space_group_name_H-M 'P 1'
_symmetry_Int_Tables_number 1
loop_
_symmetry_equiv_pos_as_xyz
'x,y,z'
loop_
_atom_site_label
_atom_site_type_symbol
_atom_site_fract_x
_atom_site_fract_y
_atom_site_fract_z
Pr1 Pr 0.000 0.000 0.000
Pr2 Pr 0.856 0.856 0.433
Pr3 Pr 0.144 0.144 0.567
Mg1 Mg 0.500 0.500 0.500
Mg2 Mg 0.924 0.419 0.238
Mg3 Mg 0.419 0.924 0.238
Mg4 Mg 0.419 0.419 0.238
Mg5 Mg 0.076 0.581 0.762
Mg6 Mg 0.581 0.581 0.762
Mg7 Mg 0.581 0.076 0.762
Al1 Al 0.666 0.666 0.002
Al2 Al 0.334 0.334 0.998
```


Entry 3:
## Pr2Si4Pd3Au (PBE)

Data for a relaxed Pr2Si4Pd3Au crystal.

The energy is -5.846 eV per atom. The calculation puts the uncorrected formation energy at -0.84 eV/atom.

Geometry as CIF:
```
data_Pr2Si4Pd3Au
_chemical_formula_sum 'Pr2 Si4 Pd3 Au1'
_cell_length_a 4.292
_cell_length_b 4.292
_cell_length_c 10.046
_cell_angle_alpha 90.00
_cell_angle_beta 90.00
_cell_angle_gamma 90.00
_symmetry_space_group_name_H-M 'P 1'
_symmetry_Int_Tables_number 1
loop_
_symmetry_equiv_pos_as_xyz
'x,y,z'
loop_
_atom_site_label
_atom_site_type_symbol
_atom_site_fract_x
_atom_site_fract_y
_atom_site_fract_z
Pr1 Pr 0.500 0.000 0.244
Pr2 Pr 0.000 0.500 0.756
Si1 Si 0.500 0.500 0.000
Si2 Si 0.000 0.000 0.000
Si3 Si 0.500 0.000 0.638
Si4 Si 0.000 0.500 0.362
Pd1 Pd 0.000 0.000 0.500
Pd2 Pd 0.500 0.000 0.882
Pd3 Pd 0.000 0.500 0.118
Au1 Au 0.500 0.500 0.500
```


Entry 4:
## MoCl3 (PBE)

Data for a relaxed MoCl3 crystal.

The energy is -4.613 eV per atom. For the energy above the most stable polymorph in this dataset, the calculation gives 0.338 eV per atom. The calculation puts the uncorrected formation energy at -0.52 eV/atom.

Geometry as CIF:
```
data_MoCl3
_chemical_formula_sum 'Mo4 Cl12'
_cell_length_a 5.653
_cell_length_b 6.398
_cell_length_c 12.066
_cell_angle_alpha 90.00
_cell_angle_beta 90.00
_cell_angle_gamma 90.00
_symmetry_space_group_name_H-M 'P 1'
_symmetry_Int_Tables_number 1
loop_
_symmetry_equiv_pos_as_xyz
'x,y,z'
loop_
_atom_site_label
_atom_site_type_symbol
_atom_site_fract_x
_atom_site_fract_y
_atom_site_fract_z
Mo1 Mo 0.574 0.892 0.750
Mo2 Mo 0.074 0.608 0.250
Mo3 Mo 0.926 0.392 0.750
Mo4 Mo 0.426 0.108 0.250
Cl1 Cl 0.179 0.054 0.750
Cl2 Cl 0.679 0.446 0.250
Cl3 Cl 0.321 0.554 0.750
Cl4 Cl 0.821 0.946 0.250
Cl5 Cl 0.688 0.164 0.882
Cl6 Cl 0.188 0.336 0.118
Cl7 Cl 0.812 0.664 0.618
Cl8 Cl 0.312 0.836 0.382
Cl9 Cl 0.312 0.836 0.118
Cl10 Cl 0.812 0.664 0.882
Cl11 Cl 0.188 0.336 0.382
Cl12 Cl 0.688 0.164 0.618
```


Repeat the fourth record exactly.
## MoCl3 (PBE)

Data for a relaxed MoCl3 crystal.

The energy is -4.613 eV per atom. For the energy above the most stable polymorph in this dataset, the calculation gives 0.338 eV per atom. The calculation puts the uncorrected formation energy at -0.52 eV/atom.

Geometry as CIF:
```
data_MoCl3
_chemical_formula_sum 'Mo4 Cl12'
_cell_length_a 5.653
_cell_length_b 6.398
_cell_length_c 12.066
_cell_angle_alpha 90.00
_cell_angle_beta 90.00
_cell_angle_gamma 90.00
_symmetry_space_group_name_H-M 'P 1'
_symmetry_Int_Tables_number 1
loop_
_symmetry_equiv_pos_as_xyz
'x,y,z'
loop_
_atom_site_label
_atom_site_type_symbol
_atom_site_fract_x
_atom_site_fract_y
_atom_site_fract_z
Mo1 Mo 0.574 0.892 0.750
Mo2 Mo 0.074 0.608 0.250
Mo3 Mo 0.926 0.392 0.750
Mo4 Mo 0.426 0.108 0.250
Cl1 Cl 0.179 0.054 0.750
Cl2 Cl 0.679 0.446 0.250
Cl3 Cl 0.321 0.554 0.750
Cl4 Cl 0.821 0.946 0.250
Cl5 Cl 0.688 0.164 0.882
Cl6 Cl 0.188 0.336 0.118
Cl7 Cl 0.812 0.664 0.618
Cl8 Cl 0.312 0.836 0.382
Cl9 Cl 0.312 0.836 0.118
Cl10 Cl 0.812 0.664 0.882
Cl11 Cl 0.188 0.336 0.382
Cl12 Cl 0.688 0.164 0.618
```